Entry from Alexandria: a relaxed TaMo4W7 crystal (PBE-GGA).

M_tot, μB/cell: 0.0
Energy relative to the elements, eV/f.u.: 1.029
Crystal system: triclinic

POSCAR file:
```
TaMo4W7
1.0
2.727 0.000 0.000
0.000 4.508 0.000
-0.176 -0.015 31.888
Ta Mo W
2 8 14
Direct
0.000 0.000 0.000
0.254 0.000 0.498
0.243 0.000 0.915
0.363 0.500 0.208
0.558 0.000 0.749
0.652 0.000 0.250
0.712 0.500 0.043
0.864 0.500 0.709
0.919 0.000 0.415
0.935 0.500 0.539
0.052 0.500 0.125
0.211 0.500 0.792
0.255 0.500 0.374
0.288 0.000 0.667
0.394 0.000 0.084
0.537 0.500 0.956
0.559 0.000 0.835
0.582 0.000 0.334
0.603 0.500 0.456
0.638 0.000 0.583
0.728 0.000 0.165
0.895 0.500 0.874
0.948 0.500 0.292
0.993 0.500 0.625
```